Entry 1:
{"formula": "LaZrIn", "functional": "SCAN", "state": "single point on PBEsol structure", "lattice_angstrom": [[7.130, 0.000, 0.000], [0.000, 7.130, 0.000], [0.000, 0.000, 7.130]], "species": ["La", "La", "La", "La", "Zr", "Zr", "Zr", "Zr", "In", "In", "In", "In"], "fractional_positions": [[0.000, 0.000, 0.000], [0.000, 0.500, 0.500], [0.500, 0.000, 0.500], [0.500, 0.500, 0.000], [0.000, 0.000, 0.500], [0.000, 0.500, 0.000], [0.500, 0.000, 0.000], [0.500, 0.500, 0.500], [0.250, 0.250, 0.750], [0.250, 0.750, 0.250], [0.750, 0.250, 0.250], [0.750, 0.750, 0.750]], "dos_at_fermi_per_ev_cell": 9.41, "delta_e_f_mev_per_atom": 50.9, "magnetic_moment_mub_per_atom": 0.64, "energy_ev_per_cell": -428.15}

Entry 2:
{"formula": "CdTeAu2", "functional": "SCAN", "state": "single point on PBEsol structure", "lattice_angstrom": [[6.889, 0.000, 0.000], [0.000, 6.889, 0.000], [0.000, 0.000, 6.889]], "species": ["Cd", "Cd", "Cd", "Cd", "Te", "Te", "Te", "Te", "Au", "Au", "Au", "Au", "Au", "Au", "Au", "Au"], "fractional_positions": [[0.000, 0.000, 0.000], [0.000, 0.500, 0.500], [0.500, 0.000, 0.500], [0.500, 0.500, 0.000], [0.000, 0.000, 0.500], [0.000, 0.500, 0.000], [0.500, 0.000, 0.000], [0.500, 0.500, 0.500], [0.250, 0.250, 0.250], [0.250, 0.250, 0.750], [0.250, 0.750, 0.250], [0.250, 0.750, 0.750], [0.750, 0.250, 0.250], [0.750, 0.250, 0.750], [0.750, 0.750, 0.250], [0.750, 0.750, 0.750]], "dos_at_fermi_per_ev_cell": 2.75, "polymorph_energy_mev_per_atom": 208, "magnetic_moment_mub_per_atom": 0.00, "energy_ev_per_cell": -822.75, "formation_energy_uncorrected_ev_per_atom": 0.073}

Entry 3:
{"formula": "BN", "functional": "SCAN", "state": "single point on PBEsol structure", "lattice_angstrom": [[3.608, 0.000, 0.000], [0.000, 3.608, 0.000], [0.000, 0.000, 3.608]], "species": ["B", "B", "B", "B", "N", "N", "N", "N"], "fractional_positions": [[0.000, 0.000, 0.000], [0.000, 0.500, 0.500], [0.500, 0.000, 0.500], [0.500, 0.500, 0.000], [0.250, 0.250, 0.750], [0.250, 0.750, 0.250], [0.750, 0.250, 0.250], [0.750, 0.750, 0.750]], "dos_at_fermi_per_ev_cell": 0.00, "polymorph_energy_mev_per_atom": 54, "magnetic_moment_mub_per_atom": 0.00, "energy_ev_per_cell": -78.09, "formation_energy_uncorrected_ev_per_atom": -1.401}

Entry 4:
{"formula": "Mo2WAu", "functional": "SCAN", "state": "single point on PBEsol structure", "lattice_angstrom": [[2.660, 0.000, 0.000], [0.000, 2.660, 0.000], [0.000, 0.000, 8.925]], "species": ["Mo", "Mo", "W", "Au"], "fractional_positions": [[0.000, 0.000, 0.249], [0.000, 0.000, 0.751], [0.500, 0.500, 0.500], [0.500, 0.500, 0.000]], "dos_at_fermi_per_ev_cell": 2.55, "polymorph_energy_mev_per_atom": 142, "delta_e_f_mev_per_atom": 260.0, "magnetic_moment_mub_per_atom": 0.00, "energy_ev_per_cell": -207.58}

Entry 5:
{"formula": "Rb2SnF6", "functional": "SCAN", "state": "single point on PBEsol structure", "lattice_angstrom": [[0.000, 4.355, 4.355], [4.355, 0.000, 4.355], [4.355, 4.355, 0.000]], "species": ["Rb", "Rb", "Sn", "F", "F", "F", "F", "F", "F"], "fractional_positions": [[0.250, 0.250, 0.250], [0.750, 0.750, 0.750], [0.000, 0.000, 0.000], [0.228, 0.228, 0.772], [0.228, 0.772, 0.228], [0.228, 0.772, 0.772], [0.772, 0.228, 0.228], [0.772, 0.228, 0.772], [0.772, 0.772, 0.228]], "dos_at_fermi_per_ev_cell": 0.00, "magnetic_moment_mub_per_atom": 0.00, "energy_ev_per_cell": -124.51, "formation_energy_uncorrected_ev_per_atom": -2.875}

Entry 6:
{"formula": "AlFeSe2", "functional": "SCAN", "state": "single point on PBEsol structure", "lattice_angstrom": [[7.034, 0.000, 0.000], [0.000, 6.915, 0.000], [-1.790, 0.000, 3.111]], "species": ["Al", "Al", "Fe", "Fe", "Se", "Se", "Se", "Se"], "fractional_positions": [[0.000, 0.000, 0.000], [0.500, 0.500, 0.000], [0.000, 0.500, 0.000], [0.500, 0.000, 0.000], [0.250, 0.250, 0.500], [0.250, 0.750, 0.500], [0.750, 0.250, 0.500], [0.750, 0.750, 0.500]], "dos_at_fermi_per_ev_cell": 5.71, "magnetic_moment_mub_per_atom": 0.78, "energy_ev_per_cell": -132.09, "formation_energy_uncorrected_ev_per_atom": -0.001}

Entry 7:
{"formula": "GaSbS2N", "functional": "SCAN", "state": "single point on PBEsol structure", "lattice_angstrom": [[5.008, 0.000, 0.000], [0.000, 5.008, 0.000], [0.000, 0.000, 3.964]], "species": ["Ga", "Sb", "S", "S", "N"], "fractional_positions": [[0.000, 0.000, 0.000], [0.500, 0.500, 0.500], [0.000, 0.500, 0.500], [0.500, 0.000, 0.500], [0.500, 0.500, 0.000]], "dos_at_fermi_per_ev_cell": 2.89, "magnetic_moment_mub_per_atom": 0.22, "energy_ev_per_cell": -78.63, "formation_energy_uncorrected_ev_per_atom": 0.705}

Entry 8:
{"formula": "CuBiSb2", "functional": "SCAN", "state": "single point on PBEsol structure", "lattice_angstrom": [[6.224, 0.000, 0.000], [0.000, 6.224, 0.000], [0.000, 0.000, 12.678]], "species": ["Cu", "Cu", "Cu", "Cu", "Bi", "Bi", "Bi", "Bi", "Sb", "Sb", "Sb", "Sb", "Sb", "Sb", "Sb", "Sb"], "fractional_positions": [[0.000, 0.000, 0.000], [0.000, 0.500, 0.250], [0.500, 0.000, 0.750], [0.500, 0.500, 0.500], [0.000, 0.000, 0.500], [0.000, 0.500, 0.750], [0.500, 0.000, 0.250], [0.500, 0.500, 0.000], [0.183, 0.250, 0.125], [0.250, 0.683, 0.375], [0.250, 0.817, 0.875], [0.317, 0.250, 0.625], [0.683, 0.750, 0.625], [0.750, 0.183, 0.875], [0.750, 0.317, 0.375], [0.817, 0.750, 0.125]], "dos_at_fermi_per_ev_cell": 5.79, "magnetic_moment_mub_per_atom": 0.00, "energy_ev_per_cell": -670.94, "formation_energy_uncorrected_ev_per_atom": 0.141}

Entry 9:
{"formula": "MoAsNO2", "functional": "SCAN", "state": "single point on PBEsol structure", "lattice_angstrom": [[3.806, 0.000, 0.000], [0.000, 3.806, 0.000], [0.000, 0.000, 4.079]], "species": ["Mo", "As", "N", "O", "O"], "fractional_positions": [[0.000, 0.000, 0.000], [0.500, 0.500, 0.500], [0.000, 0.000, 0.500], [0.000, 0.500, 0.000], [0.500, 0.000, 0.000]], "dos_at_fermi_per_ev_cell": 2.76, "magnetic_moment_mub_per_atom": 0.00, "energy_ev_per_cell": -78.86, "formation_energy_uncorrected_ev_per_atom": -0.406}

Entry 10:
{"formula": "K2Cd2Au", "functional": "SCAN", "state": "single point on PBEsol structure", "lattice_angstrom": [[7.265, 0.000, 0.000], [0.000, 7.265, 0.000], [0.000, 0.000, 5.636]], "species": ["K", "K", "K", "K", "Cd", "Cd", "Cd", "Cd", "Au", "Au"], "fractional_positions": [[0.181, 0.319, 0.000], [0.319, 0.819, 0.000], [0.681, 0.181, 0.000], [0.819, 0.681, 0.000], [0.141, 0.641, 0.500], [0.359, 0.141, 0.500], [0.641, 0.859, 0.500], [0.859, 0.359, 0.500], [0.000, 0.000, 0.500], [0.500, 0.500, 0.500]], "dos_at_fermi_per_ev_cell": 3.91, "polymorph_energy_mev_per_atom": 2, "delta_e_f_mev_per_atom": -162.6, "magnetic_moment_mub_per_atom": 0.00, "energy_ev_per_cell": -294.91}

Entry 11:
{"formula": "Li7Mn16O32", "functional": "SCAN", "state": "single point on PBEsol structure", "lattice_angstrom": [[-4.023, 4.023, 8.045], [4.023, -4.023, 8.045], [4.023, 4.023, -8.045]], "species": ["Li", "Li", "Li", "Li", "Li", "Li", "Li", "Mn", "Mn", "Mn", "Mn", "Mn", "Mn", "Mn", "Mn", "Mn", "Mn", "Mn", "Mn", "Mn", "Mn", "Mn", "Mn", "O", "O", "O", "O", "O", "O", "O", "O", "O", "O", "O", "O", "O", "O", "O", "O", "O", "O", "O", "O", "O", "O", "O", "O", "O", "O", "O", "O", "O", "O", "O", "O"], "fractional_positions": [[0.000, 0.000, 0.000], [0.128, 0.128, 0.504], [0.250, 0.750, 0.500], [0.376, 0.872, 0.000], [0.624, 0.624, 0.496], [0.750, 0.250, 0.500], [0.872, 0.376, 0.000], [0.063, 0.063, 0.751], [0.064, 0.562, 0.752], [0.188, 0.439, 0.000], [0.189, 0.438, 0.502], [0.312, 0.312, 0.249], [0.313, 0.811, 0.248], [0.438, 0.189, 0.502], [0.439, 0.188, 0.000], [0.561, 0.561, 0.750], [0.562, 0.064, 0.752], [0.687, 0.936, 0.498], [0.688, 0.937, 0.000], [0.811, 0.313, 0.248], [0.812, 0.812, 0.250], [0.936, 0.687, 0.498], [0.937, 0.688, 0.000], [0.044, 0.819, 0.501], [0.056, 0.332, 0.500], [0.069, 0.794, 0.000], [0.081, 0.306, 0.000], [0.168, 0.668, 0.724], [0.181, 0.681, 0.225], [0.194, 0.194, 0.776], [0.206, 0.206, 0.275], [0.291, 0.569, 0.000], [0.306, 0.081, 0.000], [0.319, 0.543, 0.499], [0.332, 0.056, 0.500], [0.418, 0.418, 0.224], [0.431, 0.431, 0.722], [0.444, 0.944, 0.276], [0.457, 0.956, 0.775], [0.543, 0.319, 0.499], [0.556, 0.832, 0.500], [0.569, 0.291, 0.000], [0.582, 0.806, 0.000], [0.668, 0.168, 0.724], [0.681, 0.181, 0.225], [0.694, 0.694, 0.775], [0.709, 0.709, 0.278], [0.794, 0.069, 0.000], [0.806, 0.582, 0.000], [0.819, 0.044, 0.501], [0.832, 0.556, 0.500], [0.919, 0.919, 0.225], [0.931, 0.931, 0.725], [0.944, 0.444, 0.276], [0.956, 0.457, 0.775]], "dos_at_fermi_per_ev_cell": 9.66, "magnetic_moment_mub_per_atom": 0.75, "energy_ev_per_cell": -631.50, "formation_energy_uncorrected_ev_per_atom": -2.242}

Entry 12:
{"formula": "BaLaFe2", "functional": "SCAN", "state": "single point on PBEsol structure", "lattice_angstrom": [[5.120, 0.000, 0.000], [0.000, 5.120, 0.000], [0.000, 0.000, 3.569]], "species": ["Ba", "La", "Fe", "Fe"], "fractional_positions": [[0.000, 0.000, 0.000], [0.500, 0.500, 0.000], [0.000, 0.500, 0.500], [0.500, 0.000, 0.500]], "dos_at_fermi_per_ev_cell": 4.17, "delta_e_f_mev_per_atom": 657.3, "magnetic_moment_mub_per_atom": 1.07, "energy_ev_per_cell": -116.29}